# 1
Computed, not measured: a relaxed HgP3Ru crystal at the PBE level of DFT.

The structure in CIF format:
```
data_HgP3Ru
_chemical_formula_sum 'Hg1 P3 Ru1'
_symmetry_space_group_name_H-M 'P 1'
_symmetry_Int_Tables_number 1
_cell_length_a 4.6411
_cell_length_b 4.6411
_cell_length_c 4.6411
_cell_angle_alpha 90.00
_cell_angle_beta 90.00
_cell_angle_gamma 90.00
loop_
_symmetry_equiv_pos_as_xyz
'x,y,z'
loop_
_atom_site_label
_atom_site_type_symbol
_atom_site_fract_x
_atom_site_fract_y
_atom_site_fract_z
P1 P 0.0000 0.0000 0.5000
P2 P 0.5000 0.0000 0.0000
P3 P 0.0000 0.5000 0.0000
Ru1 Ru 0.0000 0.0000 0.0000
Hg1 Hg 0.5000 0.5000 0.5000
```

Values from the calculation:
- formation enthalpy at 0 K (eV/atom) = 0.59
- energy above the lowest structure with this stoichiometry (eV per atom) = 0.000


# 2
Computed, not measured: a relaxed Nd2DyCo crystal at the PBE level of DFT.

The structure in CIF format:
```
data_Nd2DyCo
_chemical_formula_sum 'Nd8 Dy4 Co4'
_symmetry_space_group_name_H-M 'P 1'
_symmetry_Int_Tables_number 1
_cell_length_a 6.2824
_cell_length_b 7.0696
_cell_length_c 9.8870
_cell_angle_alpha 90.00
_cell_angle_beta 90.00
_cell_angle_gamma 90.00
loop_
_symmetry_equiv_pos_as_xyz
'x,y,z'
loop_
_atom_site_label
_atom_site_type_symbol
_atom_site_fract_x
_atom_site_fract_y
_atom_site_fract_z
Dy1 Dy 0.6553 0.5438 0.2500
Dy2 Dy 0.1553 0.9562 0.7500
Dy3 Dy 0.8447 0.0438 0.2500
Dy4 Dy 0.3447 0.4562 0.7500
Co1 Co 0.9507 0.6173 0.7500
Co2 Co 0.4507 0.8827 0.2500
Co3 Co 0.5493 0.1173 0.7500
Co4 Co 0.0493 0.3827 0.2500
Nd1 Nd 0.1756 0.6751 0.4297
Nd2 Nd 0.6756 0.8249 0.5703
Nd3 Nd 0.8244 0.3249 0.5703
Nd4 Nd 0.1756 0.6751 0.0703
Nd5 Nd 0.3244 0.1751 0.0703
Nd6 Nd 0.6756 0.8249 0.9297
Nd7 Nd 0.3244 0.1751 0.4297
Nd8 Nd 0.8244 0.3249 0.9297
```

Values from the calculation:
- formation enthalpy at 0 K (eV/atom) = -0.09
- energy above the lowest structure with this stoichiometry (eV per atom) = 0.000


# 3
Computed, not measured: a relaxed K3Ce3NpS8 crystal at the PBE level of DFT.

The structure in CIF format:
```
data_K3Ce3NpS8
_chemical_formula_sum 'K3 Ce3 Np1 S8'
_symmetry_space_group_name_H-M 'P 1'
_symmetry_Int_Tables_number 1
_cell_length_a 8.3212
_cell_length_b 8.3215
_cell_length_c 8.8525
_cell_angle_alpha 118.05
_cell_angle_beta 90.01
_cell_angle_gamma 120.00
loop_
_symmetry_equiv_pos_as_xyz
'x,y,z'
loop_
_atom_site_label
_atom_site_type_symbol
_atom_site_fract_x
_atom_site_fract_y
_atom_site_fract_z
S1 S 0.7712 0.0337 0.3050
S2 S 0.7712 0.5425 0.3050
S3 S 0.2288 0.9663 0.6950
S4 S 0.2623 0.0336 0.3050
S5 S 0.7377 0.9664 0.6950
S6 S 0.2649 0.5298 0.2949
S7 S 0.7351 0.4702 0.7051
S8 S 0.2288 0.4575 0.6950
Ce1 Ce 0.5000 0.5000 0.5000
Ce2 Ce 0.5000 0.0000 0.5000
Ce3 Ce 0.0000 0.5000 0.5000
K1 K 0.0000 0.5000 0.0000
K2 K 0.0000 0.0000 0.0000
K3 K 0.5000 0.5000 0.0000
Np1 Np 0.0000 0.0000 0.5000
```

Values from the calculation:
- energy relative to the elements, uncorrected (meV per atom) = -1706


# 4
Computed, not measured: a relaxed Zn2Pb crystal at the PBE level of DFT.

The structure in CIF format:
```
data_Zn2Pb
_chemical_formula_sum 'Zn4 Pb2'
_symmetry_space_group_name_H-M 'P 1'
_symmetry_Int_Tables_number 1
_cell_length_a 9.4044
_cell_length_b 9.4044
_cell_length_c 3.9041
_cell_angle_alpha 90.00
_cell_angle_beta 90.00
_cell_angle_gamma 157.56
loop_
_symmetry_equiv_pos_as_xyz
'x,y,z'
loop_
_atom_site_label
_atom_site_type_symbol
_atom_site_fract_x
_atom_site_fract_y
_atom_site_fract_z
Zn1 Zn 0.1629 0.8371 0.5000
Zn2 Zn 0.2816 0.7184 0.0000
Zn3 Zn 0.6696 0.3304 0.0000
Zn4 Zn 0.7749 0.2251 0.5000
Pb1 Pb 0.4073 0.5927 0.5000
Pb2 Pb 0.0371 0.9629 0.0000
```

Values from the calculation:
- formation enthalpy at 0 K (eV/atom) = 0.09


# 5
Computed, not measured: a relaxed Al2CrAg crystal at the PBE level of DFT.

The structure in CIF format:
```
data_Al2CrAg
_chemical_formula_sum 'Al2 Cr1 Ag1'
_symmetry_space_group_name_H-M 'P 1'
_symmetry_Int_Tables_number 1
_cell_length_a 2.8370
_cell_length_b 2.8370
_cell_length_c 8.8292
_cell_angle_alpha 80.75
_cell_angle_beta 80.75
_cell_angle_gamma 60.00
loop_
_symmetry_equiv_pos_as_xyz
'x,y,z'
loop_
_atom_site_label
_atom_site_type_symbol
_atom_site_fract_x
_atom_site_fract_y
_atom_site_fract_z
Al1 Al 0.0766 0.0766 0.7701
Al2 Al 0.2562 0.2562 0.2315
Cr1 Cr 0.6663 0.6663 0.0010
Ag1 Ag 0.5009 0.5009 0.4974
```

Values from the calculation:
- formation enthalpy at 0 K (eV/atom) = 0.02
- energy above the lowest structure with this stoichiometry (eV per atom) = 0.076


# 6
Computed, not measured: a relaxed LiMgCu2 crystal at the PBE level of DFT.

The structure in CIF format:
```
data_LiMgCu2
_chemical_formula_sum 'Li2 Mg2 Cu4'
_symmetry_space_group_name_H-M 'P 1'
_symmetry_Int_Tables_number 1
_cell_length_a 3.6411
_cell_length_b 3.6411
_cell_length_c 9.5114
_cell_angle_alpha 78.96
_cell_angle_beta 78.96
_cell_angle_gamma 90.00
loop_
_symmetry_equiv_pos_as_xyz
'x,y,z'
loop_
_atom_site_label
_atom_site_type_symbol
_atom_site_fract_x
_atom_site_fract_y
_atom_site_fract_z
Mg1 Mg 0.7500 0.2500 0.5000
Mg2 Mg 0.0000 0.0000 0.0000
Cu1 Cu 0.3750 0.3801 0.7500
Cu2 Cu 0.6199 0.1250 0.2500
Cu3 Cu 0.1301 0.6250 0.2500
Cu4 Cu 0.8750 0.8699 0.7500
Li1 Li 0.5000 0.5000 0.0000
Li2 Li 0.2500 0.7500 0.5000
```

Values from the calculation:
- formation enthalpy at 0 K (eV/atom) = 0.20